# 1
Material: KTlSe2
Method: DFT, PBE
State: relaxed

Calculated values
E_form (uncorrected) = -0.632 eV/atom
V = 35.77 A^3/atom
crystal system = tetragonal

a = 7.6983 Å, b = 7.6983 Å, c = 7.2768 Å
α = 58.06°, β = 58.06°, γ = 90.00°
Last column: nearest neighbours and their distance in Å.
Sites, in units of the cell vectors:
Se (0.3750, 0.3130, 0.7500)  2 Tl 2.69
Tl (0.0000, 0.0000, 0.0000)  4 Se 2.69
Se (0.0630, 0.6250, 0.2500)  2 Tl 2.69
K (0.2500, 0.7500, 0.5000)  4 Se 3.31
Se (0.6870, 0.1250, 0.2500)  2 Tl 2.69
K (0.5000, 0.5000, 0.0000)  4 Se 3.31
Se (0.8750, 0.9370, 0.7500)  2 Tl 2.69
Tl (0.7500, 0.2500, 0.5000)  4 Se 2.69


# 2
Material: KTl3Se3
Method: DFT, PBE
State: relaxed

Calculated values
E_form (uncorrected) = -0.504 eV/atom
V = 35.34 A^3/atom
crystal system = cubic

a = 9.9654 Å, b = 9.9654 Å, c = 9.9654 Å
α = 90.00°, β = 90.00°, γ = 90.00°
Last column: nearest neighbours and their distance in Å.
Sites, in units of the cell vectors:
Se (0.0042, 0.2122, 0.8405)  1 Tl 2.63
Tl (0.3112, 0.1888, 0.8112)  3 Se 3.08
Se (0.4958, 0.7878, 0.3405)  1 Tl 2.63
Tl (0.1888, 0.8112, 0.3112)  3 Se 3.08
Se (0.5042, 0.2878, 0.1595)  1 Tl 2.63
K (0.9563, 0.0437, 0.5437)  6 Se 3.44-3.52
Tl (0.8112, 0.3112, 0.1888)  3 Se 3.08
Se (0.9958, 0.7122, 0.6595)  1 Tl 2.63
Tl (0.5173, 0.4827, 0.9827)  3 Se 2.63
Tl (0.2159, 0.2159, 0.2159)  3 Se 3.01
Tl (0.7159, 0.2841, 0.7841)  3 Se 3.01
K (0.0437, 0.5437, 0.9563)  6 Se 3.44-3.52
Se (0.8405, 0.0042, 0.2122)  1 Tl 2.63
Tl (0.0173, 0.0173, 0.0173)  3 Se 2.63
K (0.4563, 0.4563, 0.4563)  6 Se 3.44-3.52
Tl (0.2841, 0.7841, 0.7159)  3 Se 3.01
Tl (0.6888, 0.6888, 0.6888)  3 Se 3.08
K (0.5437, 0.9563, 0.0437)  6 Se 3.44-3.52
Se (0.1595, 0.5042, 0.2878)  1 Tl 2.63
Se (0.2122, 0.8405, 0.0042)  1 Tl 2.63
Se (0.7878, 0.3405, 0.4958)  1 Tl 2.63
Tl (0.9827, 0.5173, 0.4827)  3 Se 2.63
Se (0.3405, 0.4958, 0.7878)  1 Tl 2.63
Se (0.6595, 0.9958, 0.7122)  1 Tl 2.63
Se (0.2878, 0.1595, 0.5042)  1 Tl 2.63
Tl (0.7841, 0.7159, 0.2841)  3 Se 3.01
Tl (0.4827, 0.9827, 0.5173)  3 Se 2.63
Se (0.7122, 0.6595, 0.9958)  1 Tl 2.63


# 3
Material: KTlSe2
Method: DFT, PBE
State: relaxed

Calculated values
E_form (uncorrected) = -0.651 eV/atom
V = 30.58 A^3/atom
crystal system = tetragonal

a = 6.8502 Å, b = 6.8502 Å, c = 6.8502 Å
α = 106.10°, β = 106.10°, γ = 116.45°
Last column: nearest neighbours and their distance in Å.
Sites, in units of the cell vectors:
Tl (0.2500, 0.7500, 0.5000)  4 Se 2.73
K (0.7500, 0.7500, 0.0000)  8 Se 3.53, 2 K 3.61
Se (0.8243, 0.6757, 0.5000)  2 Tl 2.73
Se (0.1757, 0.3243, 0.5000)  2 Tl 2.73
Tl (0.7500, 0.2500, 0.5000)  4 Se 2.73
K (0.2500, 0.2500, 0.0000)  8 Se 3.53, 2 K 3.61
Se (0.6757, 0.1757, 0.8514)  2 Tl 2.73
Se (0.3243, 0.8243, 0.1486)  2 Tl 2.73


# 4
Material: KTlSe2
Method: DFT, PBE
State: relaxed

Calculated values
E_form (uncorrected) = -0.099 eV/atom
V = 30.84 A^3/atom
crystal system = tetragonal

a = 3.4100 Å, b = 3.4100 Å, c = 10.6079 Å
α = 90.00°, β = 90.00°, γ = 90.00°
Last column: nearest neighbours and their distance in Å.
Sites, in units of the cell vectors:
Tl (0.0000, 0.0000, 0.4743)  4 Se 3.02
Se (0.0000, 0.0000, 0.9638)  4 K 3.25, 4 Se 3.41
Se (0.5000, 0.5000, 0.3033)  4 Tl 3.02
K (0.5000, 0.5000, 0.7586)  4 Se 3.25, 4 K 3.41


# 5
Material: KTlSe2
Method: DFT, PBE
State: relaxed

Calculated values
E_form (uncorrected) = -0.363 eV/atom
V = 27.90 A^3/atom
crystal system = tetragonal

a = 5.8842 Å, b = 5.8842 Å, c = 5.8842 Å
α = 131.62°, β = 131.58°, γ = 70.87°
Last column: nearest neighbours and their distance in Å.
Sites, in units of the cell vectors:
Se (0.0001, 0.0001, 0.0000)  4 Tl 3.40, 4 K 3.40, 4 Se 3.41
Se (0.4999, 0.4999, 0.0000)  4 Tl 3.40, 4 K 3.40, 4 Se 3.41
K (0.7500, 0.2500, 0.5000)  8 Se 3.40, 4 Tl 3.41
Tl (0.2500, 0.7500, 0.5000)  8 Se 3.40, 4 K 3.41


# 6
Material: KTlSe2
Method: DFT, PBE
State: relaxed

Calculated values
E_form (uncorrected) = -0.190 eV/atom
V = 28.34 A^3/atom
crystal system = cubic

a = 5.4326 Å, b = 5.4326 Å, c = 5.4326 Å
α = 60.00°, β = 60.00°, γ = 60.00°
Last column: nearest neighbours and their distance in Å.
Sites, in units of the cell vectors:
K (0.5000, 0.5000, 0.5000)  4 Tl 3.33, 4 Se 3.33
Se (0.2500, 0.2500, 0.2500)  4 K 3.33, 4 Se 3.33
Se (0.0000, 0.0000, 0.0000)  4 Se 3.33, 4 Tl 3.33
Tl (0.7500, 0.7500, 0.7500)  4 Se 3.33, 4 K 3.33


# 7
Material: K8TlSe6
Method: DFT, PBE
State: relaxed

Calculated values
E_form (uncorrected) = -0.846 eV/atom
V = 39.47 A^3/atom
crystal system = orthorhombic

a = 9.4989 Å, b = 8.8894 Å, c = 14.0226 Å
α = 90.00°, β = 90.00°, γ = 90.00°
Last column: nearest neighbours and their distance in Å.
Sites, in units of the cell vectors:
Tl (0.2509, 0.5000, 0.9581)  4 Se 2.69-2.75
K (0.2568, 0.0000, 0.5198)  3 Se 3.12-3.34
Se (0.2543, 0.2998, 0.1073)  1 Tl 2.75
Se (0.7457, 0.2002, 0.6073)  1 Tl 2.75
Se (0.2818, 0.5000, 0.5264)  7 K 3.24-3.58
K (0.4366, 0.7199, 0.6869)  4 Se 3.22-3.32, 1 K 3.57
Se (0.2337, 0.0000, 0.7420)  6 K 3.12-3.26
Se (0.5009, 0.0000, 0.3660)  1 Tl 2.69
Se (0.4991, 0.5000, 0.8660)  1 Tl 2.69
K (0.6452, 0.5000, 0.4595)  4 Se 3.26-3.58
Se (0.7663, 0.5000, 0.2420)  6 K 3.12-3.26
K (0.7778, 0.7864, 0.8439)  3 Se 3.24-3.35, 1 K 3.56
K (0.4366, 0.2801, 0.6869)  4 Se 3.22-3.32, 1 K 3.57
Se (0.7182, 0.0000, 0.0264)  7 K 3.24-3.58
K (0.0623, 0.2930, 0.6633)  4 Se 3.22-3.38, 1 K 3.57
K (0.5634, 0.2199, 0.1869)  4 Se 3.22-3.32, 1 K 3.57
Tl (0.7491, 0.0000, 0.4581)  4 Se 2.69-2.75
K (0.3548, 0.0000, 0.9595)  4 Se 3.26-3.58
Se (0.0058, 0.5000, 0.8616)  1 Tl 2.69
K (0.9377, 0.7930, 0.1633)  4 Se 3.22-3.38, 1 K 3.57
Se (0.2543, 0.7002, 0.1073)  1 Tl 2.75
K (0.5634, 0.7801, 0.1869)  4 Se 3.22-3.32, 1 K 3.57
K (0.7432, 0.5000, 0.0198)  3 Se 3.12-3.34
K (0.2222, 0.7136, 0.3439)  3 Se 3.24-3.35, 1 K 3.56
K (0.7778, 0.2136, 0.8439)  3 Se 3.24-3.35, 1 K 3.56
K (0.0623, 0.7070, 0.6633)  4 Se 3.22-3.38, 1 K 3.57
Se (0.7457, 0.7998, 0.6073)  1 Tl 2.75
K (0.9377, 0.2070, 0.1633)  4 Se 3.22-3.38, 1 K 3.57
K (0.2222, 0.2864, 0.3439)  3 Se 3.24-3.35, 1 K 3.56
Se (0.9942, 0.0000, 0.3616)  1 Tl 2.69


# 8
Material: KTlSe2
Method: DFT, PBE
State: relaxed

Calculated values
E_form (uncorrected) = -0.568 eV/atom
V = 29.89 A^3/atom
crystal system = monoclinic

a = 4.2252 Å, b = 4.2392 Å, c = 8.0759 Å
α = 74.86°, β = 74.84°, γ = 60.11°
Last column: nearest neighbours and their distance in Å.
Sites, in units of the cell vectors:
Tl (0.5000, 0.0000, 0.0000)  6 Se 2.90-2.92
K (0.0000, 0.5000, 0.5000)  6 Se 3.34
Se (0.2339, 0.7368, 0.7954)  3 Tl 2.90-2.92
Se (0.7661, 0.2632, 0.2046)  3 Tl 2.90-2.92


# 9
Material: KTl2Se
Method: DFT, PBE
State: relaxed

Calculated values
E_form (uncorrected) = -0.405 eV/atom
V = 31.81 A^3/atom
crystal system = tetragonal

a = 4.1583 Å, b = 4.1583 Å, c = 7.3574 Å
α = 90.00°, β = 90.00°, γ = 90.00°
Last column: nearest neighbours and their distance in Å.
Sites, in units of the cell vectors:
K (0.0000, 0.0000, 0.5313)  1 Tl 3.34, 4 Se 3.49
Se (0.5000, 0.5000, 0.7873)  5 Tl 3.01-3.28
Tl (0.0000, 0.0000, 0.9850)  4 Se 3.28, 4 Tl 3.33, 1 K 3.34
Tl (0.5000, 0.5000, 0.1963)  1 Se 3.01, 4 Tl 3.33


# 10
Material: KTl2Se
Method: DFT, PBE
State: relaxed

Calculated values
E_form (uncorrected) = -0.486 eV/atom
V = 34.25 A^3/atom
crystal system = tetragonal

a = 4.6545 Å, b = 4.6527 Å, c = 6.3269 Å
α = 89.98°, β = 90.00°, γ = 90.00°
Last column: nearest neighbours and their distance in Å.
Sites, in units of the cell vectors:
Se (0.5000, 0.8751, 0.7485)  4 Tl 3.16, 4 K 3.46
K (0.0000, 0.3749, 0.5805)  4 Se 3.46
Tl (0.5000, 0.3750, 0.0855)  2 Se 3.16, 4 Tl 3.29
Tl (0.0000, 0.8750, 0.0854)  2 Se 3.16, 4 Tl 3.29


# 11
Material: KTl3Se3
Method: DFT, PBE
State: relaxed

Calculated values
E_form (uncorrected) = -0.375 eV/atom
V = 33.02 A^3/atom
crystal system = hexagonal

a = 5.4222 Å, b = 9.9213 Å, c = 9.9213 Å
α = 120.00°, β = 90.00°, γ = 90.00°
Last column: nearest neighbours and their distance in Å.
Sites, in units of the cell vectors:
K (0.2500, 0.6667, 0.3333)  3 Se 3.12
Tl (0.7500, 0.2860, 0.1977)  2 Se 2.97-3.11
Se (0.2500, 0.0269, 0.5496)  2 Se 2.84, 2 Tl 2.97-3.11, 1 K 3.12
Tl (0.2500, 0.7140, 0.8023)  2 Se 2.97-3.11
Se (0.2500, 0.5227, 0.9731)  2 Se 2.84, 2 Tl 2.97-3.11, 1 K 3.12
K (0.7500, 0.3333, 0.6667)  3 Se 3.12
Se (0.7500, 0.9731, 0.4504)  2 Se 2.84, 2 Tl 2.97-3.11, 1 K 3.12
Tl (0.7500, 0.9117, 0.7140)  2 Se 2.97-3.11
Tl (0.7500, 0.8023, 0.0883)  2 Se 2.97-3.11
Tl (0.2500, 0.1977, 0.9117)  2 Se 2.97-3.11
Se (0.7500, 0.4773, 0.0269)  2 Se 2.84, 2 Tl 2.97-3.11, 1 K 3.12
Se (0.7500, 0.5496, 0.5227)  2 Se 2.84, 2 Tl 2.97-3.11, 1 K 3.12
Tl (0.2500, 0.0883, 0.2860)  2 Se 2.97-3.11
Se (0.2500, 0.4504, 0.4773)  2 Se 2.84, 2 Tl 2.97-3.11, 1 K 3.12


# 12
Material: KTl2Se
Method: DFT, PBE
State: relaxed

Calculated values
E_form (uncorrected) = -0.287 eV/atom
V = 31.23 A^3/atom
crystal system = cubic

a = 5.6108 Å, b = 5.6108 Å, c = 5.6108 Å
α = 60.00°, β = 60.00°, γ = 60.00°
Last column: nearest neighbours and their distance in Å.
Sites, in units of the cell vectors:
K (0.5000, 0.5000, 0.5000)  4 Se 3.44, 4 Tl 3.44
Tl (0.2500, 0.2500, 0.2500)  4 Tl 3.44, 4 K 3.44
Se (0.7500, 0.7500, 0.7500)  4 Tl 3.44, 4 K 3.44
Tl (0.0000, 0.0000, 0.0000)  4 Tl 3.44, 4 Se 3.44